Here is an optimized crystal structure of Zn2Pd2Se from Alexandria. Energies are from PBE-GGA.

```
Zn2Pd2Se
1.0
7.425 0.000 0.000
0.000 7.425 0.000
0.000 0.000 2.944
Zn Pd Se
4 4 2
direct
0.154 0.346 0.000
0.346 0.846 0.000
0.654 0.154 0.000
0.846 0.654 0.000
0.141 0.641 0.500
0.359 0.141 0.500
0.641 0.859 0.500
0.859 0.359 0.500
0.000 0.000 0.500
0.500 0.500 0.500
```

## Properties
The calculation puts the calculated total energy at -35.81 eV per cell. For the formation energy without anion corrections, the calculation gives -143 kJ/mol of formula units. For the energy above the lowest structure with this stoichiometry, the calculation gives 0 meV/atom.